Hf2ScS: relaxed, PBE-GGA.

- Raw total energy: -7.871 eV per atom

Cell and atoms, written as POSCAR:
```
Hf2ScS
1.0
3.279 0.000 0.000
1.639 2.840 0.000
1.639 0.947 9.261
Hf S Sc
2 1 1
direct
0.104 0.104 0.687
0.896 0.896 0.313
0.500 0.500 0.500
0.000 0.000 0.000
```